# 1
The following is a DFT calculation (PBEsol) of an optimized crystal structure of Nb2HgN.

Cell: 6.2555 6.2555 6.2555 Å, 90.00 90.00 90.00°
Space group Fm-3m (No. 225)
Asymmetric unit:
Nb 0.2500 0.2500 0.2500 (multiplicity 8)
Hg 0.0000 0.0000 0.0000 (multiplicity 4)
N 0.0000 0.0000 0.5000 (multiplicity 4)

- formation energy without anion corrections (meV/atom) = 822

# 2
The following is a DFT calculation (PBEsol) of an optimized crystal structure of NbHgSN2.

Cell: 3.9613 3.9613 5.2672 Å, 90.00 90.00 90.00°
Space group P4/mmm (No. 123)
Asymmetric unit:
Nb 0.0000 0.0000 0.0000 (multiplicity 1)
Hg 0.5000 0.5000 0.5000 (multiplicity 1)
S 0.0000 0.0000 0.5000 (multiplicity 1)
N 0.0000 0.5000 0.0000 (multiplicity 2)

- formation energy without anion corrections (meV/atom) = 248

# 3
The following is a DFT calculation (PBEsol) of an optimized crystal structure of NbHgSeN2.

Cell: 3.9845 3.9845 5.5190 Å, 90.00 90.00 90.00°
Space group P4/mmm (No. 123)
Asymmetric unit:
Nb 0.0000 0.0000 0.0000 (multiplicity 1)
Hg 0.5000 0.5000 0.5000 (multiplicity 1)
Se 0.0000 0.0000 0.5000 (multiplicity 1)
N 0.0000 0.5000 0.0000 (multiplicity 2)

- formation energy without anion corrections (meV/atom) = 235

# 4
The following is a DFT calculation (PBEsol) of an optimized crystal structure of NiHg3N.

Cell: 4.9193 4.9193 4.9193 Å, 90.00 90.00 90.00°
Space group Pm-3m (No. 221)
Asymmetric unit:
Ni 0.0000 0.0000 0.0000 (multiplicity 1)
Hg 0.0000 0.0000 0.5000 (multiplicity 3)
N 0.5000 0.5000 0.5000 (multiplicity 1)

- formation energy without anion corrections (meV/atom) = 1166

# 5
The following is a DFT calculation (PBEsol) of an optimized crystal structure of Ni3HgN.

Cell: 10.0050 10.0050 10.0050 Å, 90.00 90.00 90.00°
Space group Fd-3m (No. 227, origin choice 2)
Asymmetric unit:
Ni 0.0567 0.3750 0.3750 (multiplicity 48)
Hg 0.0000 0.0000 0.5000 (multiplicity 16)
N 0.0000 0.0000 0.0000 (multiplicity 16)

- formation energy without anion corrections (meV/atom) = -84

# 6
The following is a DFT calculation (PBEsol) of an optimized crystal structure of HgN2O2.

Cell: 3.6638 3.6638 3.8027 Å, 90.00 90.00 90.00°
Space group P4/mmm (No. 123)
Asymmetric unit:
Hg 0.0000 0.0000 0.0000 (multiplicity 1)
N 0.0000 0.5000 0.5000 (multiplicity 2)
O 0.5000 0.5000 0.0000 (multiplicity 1)
O 0.5000 0.5000 0.5000 (multiplicity 1)

- formation energy without anion corrections (meV/atom) = 2084

# 7
The following is a DFT calculation (PBEsol) of an optimized crystal structure of HgRuN2O.

Cell: 4.1049 4.1049 4.0363 Å, 90.00 90.00 90.00°
Space group P4/mmm (No. 123)
Asymmetric unit:
Hg 0.0000 0.0000 0.0000 (multiplicity 1)
Ru 0.5000 0.5000 0.5000 (multiplicity 1)
N 0.0000 0.5000 0.0000 (multiplicity 2)
O 0.0000 0.0000 0.5000 (multiplicity 1)

- formation energy without anion corrections (meV/atom) = 2388

# 8
The following is a DFT calculation (PBEsol) of an optimized crystal structure of Hg2SeNO.

Cell: 5.3696 5.3696 3.7611 Å, 90.00 90.00 90.00°
Space group P4/mmm (No. 123)
Asymmetric unit:
Hg 0.0000 0.5000 0.0000 (multiplicity 2)
Se 0.0000 0.0000 0.0000 (multiplicity 1)
N 0.5000 0.5000 0.5000 (multiplicity 1)
O 0.0000 0.0000 0.5000 (multiplicity 1)

- formation energy without anion corrections (meV/atom) = 1060

# 9
The following is a DFT calculation (PBEsol) of an optimized crystal structure of SiHgN2O.

Cell: 3.7763 3.7763 3.4966 Å, 90.00 90.00 90.00°
Space group P4/mmm (No. 123)
Asymmetric unit:
Si 0.0000 0.0000 0.0000 (multiplicity 1)
Hg 0.5000 0.5000 0.5000 (multiplicity 1)
N 0.0000 0.5000 0.0000 (multiplicity 2)
O 0.0000 0.0000 0.5000 (multiplicity 1)

- formation energy without anion corrections (meV/atom) = 124

# 10
The following is a DFT calculation (PBEsol) of an optimized crystal structure of SnHgNO2.

Cell: 4.1903 4.1903 4.1631 Å, 90.00 90.00 90.00°
Space group P4/mmm (No. 123)
Asymmetric unit:
Sn 0.0000 0.0000 0.0000 (multiplicity 1)
Hg 0.5000 0.5000 0.5000 (multiplicity 1)
N 0.5000 0.5000 0.0000 (multiplicity 1)
O 0.0000 0.5000 0.5000 (multiplicity 2)

- formation energy without anion corrections (meV/atom) = 713

# 11
The following is a DFT calculation (PBEsol) of an optimized crystal structure of YHgN2O.

Cell: 4.5352 4.5352 4.2341 Å, 90.00 90.00 90.00°
Space group P4/mmm (No. 123)
Asymmetric unit:
Y 0.0000 0.0000 0.0000 (multiplicity 1)
Hg 0.5000 0.5000 0.5000 (multiplicity 1)
N 0.0000 0.5000 0.0000 (multiplicity 2)
O 0.0000 0.0000 0.5000 (multiplicity 1)

- formation energy without anion corrections (meV/atom) = 478

# 12
The following is a DFT calculation (PBEsol) of an optimized crystal structure of SrHgOsN2.

Cell: 4.2654 4.2654 6.0111 Å, 90.00 90.00 90.00°
Space group P4/mmm (No. 123)
Asymmetric unit:
Sr 0.0000 0.0000 0.0000 (multiplicity 1)
Hg 0.0000 0.0000 0.5000 (multiplicity 1)
Os 0.5000 0.5000 0.0000 (multiplicity 1)
N 0.0000 0.5000 0.5000 (multiplicity 2)

- formation energy without anion corrections (meV/atom) = 2554

# 13
The following is a DFT calculation (PBEsol) of an optimized crystal structure of HgPSeN2.

Cell: 4.0357 4.0357 6.1395 Å, 90.00 90.00 90.00°
Space group P4/mmm (No. 123)
Asymmetric unit:
Hg 0.0000 0.0000 0.0000 (multiplicity 1)
P 0.5000 0.5000 0.5000 (multiplicity 1)
Se 0.0000 0.0000 0.5000 (multiplicity 1)
N 0.0000 0.5000 0.0000 (multiplicity 2)

- formation energy without anion corrections (meV/atom) = 2122

# 14
The following is a DFT calculation (PBEsol) of an optimized crystal structure of HgSbPd2N.

Cell: 5.0659 5.0659 3.8525 Å, 90.00 90.00 90.00°
Space group P4/mmm (No. 123)
Asymmetric unit:
Hg 0.0000 0.0000 0.0000 (multiplicity 1)
Sb 0.5000 0.5000 0.5000 (multiplicity 1)
Pd 0.0000 0.5000 0.0000 (multiplicity 2)
N 0.0000 0.0000 0.5000 (multiplicity 1)

- formation energy without anion corrections (meV/atom) = 1161

# 15
The following is a DFT calculation (PBEsol) of an optimized crystal structure of HgPdSeN2.

Cell: 3.7300 3.7300 6.4372 Å, 90.00 90.00 90.00°
Space group P4/mmm (No. 123)
Asymmetric unit:
Hg 0.0000 0.0000 0.0000 (multiplicity 1)
Pd 0.5000 0.5000 0.0000 (multiplicity 1)
Se 0.0000 0.0000 0.5000 (multiplicity 1)
N 0.0000 0.5000 0.5000 (multiplicity 2)

- formation energy without anion corrections (meV/atom) = 1541

# 16
The following is a DFT calculation (PBEsol) of an optimized crystal structure of HgPtN2.

Cell: 3.2595 3.2595 18.7236 Å, 90.00 90.00 120.00°
Space group R-3m (No. 166, hexagonal axes)
Asymmetric unit:
Hg 0.0000 0.0000 0.0000 (multiplicity 3)
Pt 0.0000 0.0000 0.5000 (multiplicity 3)
N 0.0000 0.0000 0.4009 (multiplicity 6)

- formation energy without anion corrections (meV/atom) = 1250

# 17
The following is a DFT calculation (PBEsol) of an optimized crystal structure of Hg3PtN.

Cell: 4.5123 4.5123 4.5123 Å, 90.00 90.00 90.00°
Space group Pm-3m (No. 221)
Asymmetric unit:
Hg 0.0000 0.0000 0.5000 (multiplicity 3)
Pt 0.5000 0.5000 0.5000 (multiplicity 1)
N 0.0000 0.0000 0.0000 (multiplicity 1)

- formation energy without anion corrections (meV/atom) = 902

# 18
The following is a DFT calculation (PBEsol) of an optimized crystal structure of HgPtSe2N.

Cell: 5.2189 5.2189 3.6225 Å, 90.00 90.00 90.00°
Space group P4/mmm (No. 123)
Asymmetric unit:
Hg 0.0000 0.0000 0.0000 (multiplicity 1)
Pt 0.5000 0.5000 0.5000 (multiplicity 1)
Se 0.0000 0.5000 0.5000 (multiplicity 2)
N 0.5000 0.5000 0.0000 (multiplicity 1)

- formation energy without anion corrections (meV/atom) = 477

# 19
The following is a DFT calculation (PBEsol) of an optimized crystal structure of RbHgTe2N.

Cell: 6.1849 6.1849 3.9500 Å, 90.00 90.00 90.00°
Space group P4/mmm (No. 123)
Asymmetric unit:
Rb 0.0000 0.0000 0.0000 (multiplicity 1)
Hg 0.5000 0.5000 0.5000 (multiplicity 1)
Te 0.0000 0.5000 0.5000 (multiplicity 2)
N 0.5000 0.5000 0.0000 (multiplicity 1)

- formation energy without anion corrections (meV/atom) = 638

# 20
The following is a DFT calculation (PBEsol) of an optimized crystal structure of ReHgTeN2.

Cell: 3.9075 3.9075 5.6693 Å, 90.00 90.00 90.00°
Space group P4/mmm (No. 123)
Asymmetric unit:
Re 0.0000 0.0000 0.0000 (multiplicity 1)
Hg 0.5000 0.5000 0.5000 (multiplicity 1)
Te 0.0000 0.0000 0.5000 (multiplicity 1)
N 0.0000 0.5000 0.0000 (multiplicity 2)

- formation energy without anion corrections (meV/atom) = 433